Density functional theory data (GGA-PBEsol) for an optimized crystal structure of Be3SnBi.

energy of formation: 1.33 eV per atom
size of the total moment: 0.00 μB per cell
space-group type: Pm-3m, No. 221

a b c (Å): 4.768 4.768 4.768
angles (deg): 90.00 90.00 90.00
Fractional coordinates of all 5 atoms:
Be  0.000  0.000  0.500
Be  0.000  0.500  0.000
Be  0.500  0.000  0.000
Sn  0.500  0.500  0.500
Bi  0.000  0.000  0.000

***

Density functional theory data (GGA-PBEsol) for an optimized crystal structure of AgWBr2.

energy relative to the lowest polymorph listed for this composition: 0.506 eV per atom
size of the total moment: 1.13 μB per cell
space-group type: Pmmm, No. 47

a b c (Å): 3.032 4.453 5.862
angles (deg): 90.00 90.00 90.00
Fractional coordinates of all 4 atoms:
Ag  0.000  0.000  0.000
W  0.500  0.000  0.500
Br  0.000  0.500  0.500
Br  0.500  0.500  0.000

***

Density functional theory data (GGA-PBEsol) for an optimized crystal structure of CaBeCdSb2.

energy: -16.583 eV per cell
size of the total moment: 0.00 μB per cell
space-group type: P4/mmm, No. 123

a b c (Å): 5.082 5.082 4.666
angles (deg): 90.00 90.00 90.00
Fractional coordinates of all 5 atoms:
Ca  0.000  0.000  0.000
Be  0.500  0.500  0.500
Cd  0.500  0.500  0.000
Sb  0.000  0.500  0.500
Sb  0.500  0.000  0.500

***

Density functional theory data (GGA-PBEsol) for an optimized crystal structure of ScCd2In.

energy of formation: -0.23 eV per atom
size of the total moment: 0.00 μB per cell
space-group type: I4/mmm, No. 139

a b c (Å): 5.407 5.407 5.407
angles (deg): 132.32 132.32 69.72
Fractional coordinates of all 4 atoms:
Sc  0.000  0.000  0.000
Cd  0.250  0.750  0.500
Cd  0.750  0.250  0.500
In  0.500  0.500  0.000

***

Density functional theory data (GGA-PBEsol) for an optimized crystal structure of Sr3Sc3N5.

energy: -164.795 eV per cell
size of the total moment: 0.00 μB per cell
space-group type: P-1, No. 2

a b c (Å): 6.167 7.687 9.037
angles (deg): 108.06 105.92 98.06
Fractional coordinates of all 22 atoms:
Sr  0.175  0.123  0.200
Sr  0.179  0.352  0.889
Sr  0.285  0.933  0.597
Sr  0.715  0.067  0.403
Sr  0.821  0.648  0.111
Sr  0.825  0.877  0.800
Sc  0.222  0.461  0.572
Sc  0.355  0.632  0.289
Sc  0.393  0.807  0.964
Sc  0.607  0.193  0.036
Sc  0.645  0.368  0.711
Sc  0.778  0.539  0.428
N  0.096  0.579  0.389
N  0.226  0.751  0.118
N  0.271  0.016  0.887
N  0.336  0.211  0.512
N  0.494  0.590  0.804
N  0.506  0.410  0.196
N  0.664  0.789  0.488
N  0.729  0.984  0.113
N  0.774  0.249  0.882
N  0.904  0.421  0.611

***

Density functional theory data (GGA-PBEsol) for an optimized crystal structure of BaZnSb.

energy relative to the lowest polymorph listed for this composition: 0.617 eV per atom
size of the total moment: 0.00 μB per cell
space-group type: F-43m, No. 216

a b c (Å): 5.392 5.392 5.392
angles (deg): 60.00 60.00 60.00
Fractional coordinates of all 3 atoms:
Ba  0.000  0.000  0.000
Zn  0.750  0.750  0.750
Sb  0.250  0.250  0.250

***

Density functional theory data (GGA-PBEsol) for an optimized crystal structure of MgP2Cl.

energy relative to the lowest polymorph listed for this composition: 0.585 eV per atom
size of the total moment: 0.00 μB per cell
space-group type: P4/mmm, No. 123

a b c (Å): 4.849 4.849 2.861
angles (deg): 90.00 90.00 90.00
Fractional coordinates of all 4 atoms:
Mg  0.000  0.000  0.000
P  0.000  0.500  0.500
P  0.500  0.000  0.500
Cl  0.500  0.500  0.000

***

Density functional theory data (GGA-PBEsol) for an optimized crystal structure of Sc2InSe.

energy relative to the lowest polymorph listed for this composition: 0.317 eV per atom
size of the total moment: 0.00 μB per cell
space-group type: C2/m, No. 12

a b c (Å): 4.998 4.998 3.409
angles (deg): 96.26 96.26 99.20
Fractional coordinates of all 4 atoms:
Sc  0.000  0.500  0.000
Sc  0.500  0.000  0.000
In  0.000  0.000  0.500
Se  0.500  0.500  0.500

***

Question: Among the records above, which one has the highest size of the total moment?
Answer: AgWBr2